# Pu2Al3Au5

A relaxed Pu2Al3Au5 crystal (PBE, the Alexandria database).

Output
* formation enthalpy at 0 K: -0.460 eV/atom
* symmetry: C2/c
* final energy: -0.2237 hartree per atom

Lattice parameters (Å, degrees): 8.7567 8.7567 6.1855 110.56 110.56 88.31
Fractional positions:
Pu 0.0939 0.3668 0.2304
Pu 0.3668 0.0939 0.7304
Pu 0.6332 0.9061 0.2696
Pu 0.9061 0.6332 0.7696
Al 0.0216 0.7520 0.3864
Al 0.2480 0.9784 0.1136
Al 0.4999 0.5001 0.2500
Al 0.5001 0.4999 0.7500
Al 0.7520 0.0216 0.8864
Al 0.9784 0.2480 0.6136
Au 0.0005 0.9995 0.7500
Au 0.2405 0.4334 0.8370
Au 0.2695 0.7305 0.2500
Au 0.2688 0.7312 0.7500
Au 0.4334 0.2405 0.3370
Au 0.5666 0.7595 0.6630
Au 0.7312 0.2688 0.2500
Au 0.7305 0.2695 0.7500
Au 0.7595 0.5666 0.1630
Au 0.9995 0.0005 0.2500